Version one
A plane-wave DFT calculation with GGA-PBE was carried out for crystalline Na2Ge2Pb at its relaxed geometry.

Values from the calculation:
Space-group type: No. 139
Mass density in Mg/m³: 4.93
Magnetic moment in μB per formula unit: 0.00
D(E_F) in states/eV per cell: 2.78

Cell: 10.2095 10.2095 10.2095 Å, 159.20 159.20 29.59°
Fractional positions:
Na 0.1129 0.1129 0.0000
Na 0.8871 0.8871 0.0000
Ge 0.2500 0.7500 0.5000
Ge 0.7500 0.2500 0.5000
Pb 0.5000 0.5000 0.0000



Version two
A plane-wave DFT calculation with GGA-PBE was carried out for crystalline Na2Ge2Pb at its relaxed geometry.

Values from the calculation:
Space-group type: No. 139
Mass density in Mg/m³: 5.00
Magnetic moment in μB per formula unit: 0.00
D(E_F) in states/eV per cell: 1.75

Cell: 7.1215 7.1215 7.1215 Å, 142.59 142.59 53.94°
Fractional positions:
Na 0.2500 0.7500 0.5000
Na 0.7500 0.2500 0.5000
Ge 0.0913 0.0913 0.0000
Ge 0.9087 0.9087 0.0000
Pb 0.5000 0.5000 0.0000



Version three
A plane-wave DFT calculation with GGA-PBE was carried out for crystalline Na2Ge2Pb at its relaxed geometry.

Values from the calculation:
Space-group type: No. 127
Mass density in Mg/m³: 5.39
Magnetic moment in μB per formula unit: 0.00
D(E_F) in states/eV per cell: 5.47

Cell: 8.9280 8.9280 3.0821 Å, 90.00 90.00 90.00°
Fractional positions:
Na 0.1191 0.3809 0.0000
Na 0.3809 0.8809 0.0000
Na 0.6191 0.1191 0.0000
Na 0.8809 0.6191 0.0000
Ge 0.1799 0.6799 0.5000
Ge 0.3201 0.1799 0.5000
Ge 0.6799 0.8201 0.5000
Ge 0.8201 0.3201 0.5000
Pb 0.0000 0.0000 0.0000
Pb 0.5000 0.5000 0.0000



Version four
A plane-wave DFT calculation with GGA-PBE was carried out for crystalline Na2Ge2Pb at its relaxed geometry.

Values from the calculation:
Space-group type: No. 127
Mass density in Mg/m³: 5.53
Magnetic moment in μB per formula unit: 0.00
D(E_F) in states/eV per cell: 3.12

Cell: 8.4240 8.4240 3.3738 Å, 90.00 90.00 90.00°
Fractional positions:
Na 0.1893 0.3107 0.0000
Na 0.3107 0.8107 0.0000
Na 0.6893 0.1893 0.0000
Na 0.8107 0.6893 0.0000
Ge 0.1056 0.6056 0.5000
Ge 0.3944 0.1056 0.5000
Ge 0.6056 0.8944 0.5000
Ge 0.8944 0.3944 0.5000
Pb 0.0000 0.0000 0.5000
Pb 0.5000 0.5000 0.5000



Sorted by energy, starting with the most stable: version four, version two, version one, version three.